Entry 1:
TbNd2Pd after structural relaxation, computed with GGA-PBE.

The energy relative to the lowest polymorph listed for this composition comes out at 83 meV per atom.

The structure belongs to space group P4/mmm (No. 123); the cell edges are 3.7037, 3.7037 and 8.4570 Å and the angles 90.00°, 90.00° and 90.00°. The asymmetric unit holds Tb at (0.0000, 0.0000, 0.0000), Nd at (0.5000, 0.5000, 0.2962) and Pd at (0.0000, 0.0000, 0.5000).

***

Entry 2:
Tb4NdPd2 after structural relaxation, computed with GGA-PBE.

The energy relative to the lowest polymorph listed for this composition comes out at 50 meV per atom.

The structure belongs to space group R-3m (No. 166, hexagonal axes); the cell edges are 3.9876, 3.9876 and 45.4349 Å and the angles 90.00°, 90.00° and 120.00°. The asymmetric unit holds Tb at (0.0000, 0.0000, 0.1034), Tb at (0.0000, 0.0000, 0.3022), Nd at (0.0000, 0.0000, 0.5000) and Pd at (0.0000, 0.0000, 0.4006).

***

Entry 3:
TbNdPd after structural relaxation, computed with GGA-PBE.

The energy relative to the lowest polymorph listed for this composition comes out at 2 meV per atom.

The structure belongs to space group C2/m (No. 12); the cell edges are 12.9159, 3.6107 and 7.2771 Å and the angles 90.00°, 106.55° and 90.00°. The asymmetric unit holds Tb at (0.1375, 0.0000, 0.0690), Nd at (0.1375, 0.0000, 0.5676) and Pd at (0.0017, 0.5000, 0.2269).

***

Values of Fermi-level density of states, in order: 5.8, 25.6, 14.3, all in states/eV per cell.
Values of ΔE_f, in order: -0.32, -0.36, -0.49, all in eV per atom.
Values of spin magnetization, in order: 0.00, 0.00, 0.00, all in μB/f.u..